Compound: Li2Pt
Source: the Alexandria database
Functional: PBE-GGA
Structure: relaxed

POSCAR file:
```
Li2Pt
1.0
0.0000 3.3640 3.3640
3.3640 0.0000 3.3640
3.3640 3.3640 0.0000
Li Pt
4 2
Cartesian
2.5230 0.8410 2.5230 Li
2.5230 2.5230 0.8410 Li
0.8410 2.5230 2.5230 Li
0.8410 0.8410 0.8410 Li
5.0460 5.0460 5.0460 Pt
3.3640 3.3640 3.3640 Pt
```

Calculated volume, Å³ per atom: 12.7
E above lowest polymorph, eV/f.u.: 0.75
Calculated formation energy, kJ per mole of atoms: -30
Total moment, μB/atom: 0.00

=====

Compound: LiPt2
Source: the Alexandria database
Functional: PBE-GGA
Structure: relaxed

POSCAR file:
```
LiPt2
1.0
1.5521 2.9653 -5.1824
-4.4667 -0.5325 4.2219
1.6211 2.7565 2.0628
Li Pt
2 4
Cartesian
2.2664 4.7413 -2.8517 Li
-3.5599 0.4481 3.9540 Li
0.2335 3.5599 0.3247 Pt
-1.7366 2.4150 3.4029 Pt
-1.5270 1.6295 0.7776 Pt
0.4430 2.7744 -2.3006 Pt
```

Calculated volume, Å³ per atom: 14.5
E above lowest polymorph, eV/f.u.: 0.14
Calculated formation energy, kJ per mole of atoms: -39
Total moment, μB/atom: 0.00

=====

Compound: LiPt3
Source: the Alexandria database
Functional: PBE-GGA
Structure: relaxed

POSCAR file:
```
LiPt3
1.0
2.7408 -4.7472 0.0000
2.7408 4.7472 0.0000
0.0000 0.0000 4.5148
Li Pt
2 6
Cartesian
2.7408 1.5824 1.1287 Li
2.7408 -1.5824 3.3861 Li
1.3786 0.7959 3.3861 Pt
2.7408 3.1554 3.3861 Pt
1.3786 -0.7959 1.1287 Pt
2.7408 -3.1554 1.1287 Pt
4.1030 -0.7959 1.1287 Pt
4.1030 0.7959 3.3861 Pt
```

Calculated volume, Å³ per atom: 14.7
Calculated formation energy, kJ per mole of atoms: -32
Total moment, μB/atom: 0.00

=====

Compound: LiPt2
Source: the Alexandria database
Functional: PBE-GGA
Structure: relaxed

POSCAR file:
```
LiPt2
1.0
2.1388 -3.7045 0.0000
2.1388 3.7045 0.0000
0.0000 0.0000 5.3451
Li Pt
2 4
Cartesian
2.1388 1.2348 1.3363 Li
2.1388 -1.2348 4.0088 Li
0.0000 0.0000 0.0000 Pt
0.0000 0.0000 2.6725 Pt
2.1388 1.2348 4.0088 Pt
2.1388 -1.2348 1.3363 Pt
```

Calculated volume, Å³ per atom: 14.1
E above lowest polymorph, eV/f.u.: 0.37
Calculated formation energy, kJ per mole of atoms: -31
Total moment, μB/atom: 0.00

=====

Compound: Li2Pt
Source: the Alexandria database
Functional: PBE-GGA
Structure: relaxed

POSCAR file:
```
Li2Pt
1.0
4.4584 0.0000 0.0000
0.0000 4.4584 0.0000
0.0000 0.0000 2.6946
Li Pt
2 1
Cartesian
0.0000 2.2292 1.3473 Li
2.2292 0.0000 1.3473 Li
0.0000 0.0000 0.0000 Pt
```

Calculated volume, Å³ per atom: 17.9
E above lowest polymorph, eV/f.u.: 0.43
Calculated formation energy, kJ per mole of atoms: -40
Total moment, μB/atom: 0.00

=====

Compound: Li13Pt2
Source: the Alexandria database
Functional: PBE-GGA
Structure: relaxed

POSCAR file:
```
Li13Pt2
1.0
5.0099 -0.0669 0.3318
-0.6939 7.1150 0.2224
-0.1428 -3.3341 6.7968
Li Pt
13 2
Cartesian
2.9074 1.3589 6.8816 Li
1.2657 2.3550 0.4693 Li
0.0000 0.0000 0.0000 Li
1.0679 -1.5047 4.1069 Li
3.1052 5.2186 3.2440 Li
0.2531 1.0833 5.0983 Li
3.9200 2.6306 2.2526 Li
1.2640 2.8663 3.2511 Li
2.9092 0.8476 4.0998 Li
1.4544 3.4619 5.7414 Li
2.7188 0.2519 1.6095 Li
3.6909 -1.4516 5.7636 Li
0.4823 5.1655 1.5873 Li
3.8991 3.2578 4.8585 Pt
0.2741 0.4561 2.4924 Pt
```

Calculated volume, Å³ per atom: 16.5
Calculated formation energy, kJ per mole of atoms: -21
Total moment, μB/atom: 0.00

=====

Compound: Li2Pt
Source: the Alexandria database
Functional: PBE-GGA
Structure: relaxed

POSCAR file:
```
Li2Pt
1.0
0.0000 1.9651 6.0533
1.9642 0.0000 6.0533
1.9642 1.9651 0.0000
Li Pt
2 1
Cartesian
1.9642 1.9651 10.3613 Li
1.9642 1.9651 1.7453 Li
1.9642 1.9651 6.0533 Pt
```

Calculated volume, Å³ per atom: 15.6
E above lowest polymorph, eV/f.u.: 0.43
Calculated formation energy, kJ per mole of atoms: -40
Total moment, μB/atom: 0.00

=====

Compound: Li5Pt
Source: the Alexandria database
Functional: PBE-GGA
Structure: relaxed

POSCAR file:
```
Li5Pt
1.0
5.9295 0.0206 0.0000
-4.4957 3.8663 0.0000
0.0000 0.0000 4.1088
Li Pt
5 1
Cartesian
4.0999 0.6955 2.0544 Li
2.0254 1.4608 0.0000 Li
0.4274 2.0503 2.0544 Li
-1.1709 2.6399 0.0000 Li
-3.2452 3.4050 2.0544 Li
5.6400 0.1274 0.0000 Pt
```

Calculated volume, Å³ per atom: 15.8
E above lowest polymorph, eV/f.u.: 0.07
Calculated formation energy, kJ per mole of atoms: -27
Total moment, μB/atom: 0.00